VASP calculation (PBE) on an optimized crystal structure of Tb3P4Pt4.

a b c (Å): 4.039 4.078 12.558
angles (deg): 80.67 80.76 89.99
Sites, in units of the cell vectors:
1 Tb 0.000 0.000 0.000
2 Tb 0.147 0.648 0.705
3 Tb 0.853 0.352 0.295
4 P 0.311 0.812 0.376
5 P 0.450 0.453 0.094
6 P 0.550 0.547 0.906
7 P 0.689 0.188 0.624
8 Pt 0.261 0.260 0.480
9 Pt 0.409 0.908 0.185
10 Pt 0.591 0.092 0.815
11 Pt 0.739 0.740 0.520

Computed properties:
M_tot, μB/cell: 0.0
Energy of formation from the pure elements, eV/atom: -1.16
Space-group type: P-1 (2)
Electronic total energy, eV/cell: -72.424
V, Å³ per atom: 18.3